## BeAs2 (PBE-GGA)

Data for an optimized crystal structure of BeAs2.

ΔE_f   0.274 eV per atom
Volume   19.76 A^3/atom
Magnetization   0.00 μB/cell
Density   4.45 g/cm³
Distance to the lowest polymorph of the same formula   211 meV/atom

Cell lengths 10.029, 10.029, 3.379 Å; angles 90.00, 90.00, 159.59 degrees
Element x y z (fractional)
Be 0.114 0.886 0.750
Be 0.886 0.114 0.250
As 0.316 0.684 0.250
As 0.417 0.583 0.750
As 0.583 0.417 0.250
As 0.684 0.316 0.750


## BeAs (PBE-GGA)

Data for an optimized crystal structure of BeAs.

ΔE_f   0.066 eV per atom
Volume   18.03 A^3/atom
Magnetization   0.00 μB/cell
Density   3.87 g/cm³
Distance to the lowest polymorph of the same formula   64 meV/atom

Cell lengths 5.690, 6.913, 7.333 Å; angles 90.00, 90.00, 90.00 degrees
Element x y z (fractional)
Be 0.108 0.082 0.199
Be 0.225 0.388 0.431
Be 0.275 0.612 0.931
Be 0.392 0.918 0.699
Be 0.608 0.418 0.801
Be 0.725 0.112 0.569
Be 0.775 0.888 0.069
Be 0.892 0.582 0.301
As 0.132 0.095 0.544
As 0.162 0.399 0.134
As 0.338 0.601 0.634
As 0.368 0.905 0.044
As 0.632 0.405 0.456
As 0.662 0.101 0.866
As 0.838 0.899 0.366
As 0.868 0.595 0.956


## Be2As (PBE-GGA)

Data for an optimized crystal structure of Be2As.

ΔE_f   0.440 eV per atom
Volume   12.18 A^3/atom
Magnetization   0.00 μB/cell
Density   4.22 g/cm³
Distance to the lowest polymorph of the same formula   333 meV/atom

Cell lengths 4.058, 4.058, 4.058 Å; angles 131.64, 131.64, 70.80 degrees
Element x y z (fractional)
Be 0.160 0.160 0.000
Be 0.840 0.840 0.000
As 0.500 0.500 0.000


## BeAs3 (PBE-GGA)

Data for an optimized crystal structure of BeAs3.

ΔE_f   0.178 eV per atom
Volume   20.47 A^3/atom
Magnetization   0.00 μB/cell
Density   4.74 g/cm³
Distance to the lowest polymorph of the same formula   0 meV/atom

Cell lengths 5.880, 9.773, 5.699 Å; angles 90.00, 90.00, 90.00 degrees
Element x y z (fractional)
Be 0.106 0.250 0.035
Be 0.394 0.750 0.535
Be 0.606 0.250 0.465
Be 0.894 0.750 0.965
As 0.012 0.750 0.354
As 0.248 0.623 0.867
As 0.248 0.877 0.867
As 0.252 0.123 0.367
As 0.252 0.377 0.367
As 0.488 0.250 0.854
As 0.512 0.750 0.146
As 0.748 0.623 0.633
As 0.748 0.877 0.633
As 0.752 0.123 0.133
As 0.752 0.377 0.133
As 0.988 0.250 0.646


## BeAs3 (PBE-GGA)

Data for an optimized crystal structure of BeAs3.

ΔE_f   0.581 eV per atom
Volume   17.10 A^3/atom
Magnetization   0.00 μB/cell
Density   5.67 g/cm³
Distance to the lowest polymorph of the same formula   403 meV/atom

Cell lengths 5.163, 5.163, 5.163 Å; angles 116.13, 116.13, 116.13 degrees
Element x y z (fractional)
Be 0.000 0.000 0.000
As 0.000 0.500 0.500
As 0.500 0.000 0.500
As 0.500 0.500 0.000


## Be3As (PBE-GGA)

Data for an optimized crystal structure of Be3As.

ΔE_f   0.410 eV per atom
Volume   10.95 A^3/atom
Magnetization   0.00 μB/cell
Density   3.86 g/cm³
Distance to the lowest polymorph of the same formula   126 meV/atom

Cell lengths 4.453, 4.453, 4.453 Å; angles 134.77, 134.77, 65.88 degrees
Element x y z (fractional)
Be 0.000 0.000 0.000
Be 0.250 0.750 0.500
Be 0.750 0.250 0.500
As 0.500 0.500 0.000


## BeAs2 (PBE-GGA)

Data for an optimized crystal structure of BeAs2.

ΔE_f   0.261 eV per atom
Volume   18.53 A^3/atom
Magnetization   0.00 μB/cell
Density   4.74 g/cm³
Distance to the lowest polymorph of the same formula   198 meV/atom

Cell lengths 6.162, 6.162, 7.482 Å; angles 112.70, 112.70, 25.22 degrees
Element x y z (fractional)
Be 0.233 0.233 0.131
Be 0.767 0.767 0.869
As 0.176 0.176 0.570
As 0.423 0.423 0.096
As 0.577 0.577 0.904
As 0.824 0.824 0.430


## Be2As (PBE-GGA)

Data for an optimized crystal structure of Be2As.

ΔE_f   0.334 eV per atom
Volume   12.85 A^3/atom
Magnetization   0.00 μB/cell
Density   4.00 g/cm³
Distance to the lowest polymorph of the same formula   228 meV/atom

Cell lengths 7.043, 7.043, 3.385 Å; angles 90.00, 90.00, 152.67 degrees
Element x y z (fractional)
Be 0.132 0.868 0.750
Be 0.248 0.752 0.250
Be 0.752 0.248 0.750
Be 0.868 0.132 0.250
As 0.392 0.608 0.750
As 0.608 0.392 0.250


## Be3As (PBE-GGA)

Data for an optimized crystal structure of Be3As.

ΔE_f   0.482 eV per atom
Volume   11.14 A^3/atom
Magnetization   0.00 μB/cell
Density   3.80 g/cm³
Distance to the lowest polymorph of the same formula   199 meV/atom

Cell lengths 4.467, 4.467, 4.467 Å; angles 90.00, 90.00, 90.00 degrees
Element x y z (fractional)
Be 0.000 0.250 0.500
Be 0.000 0.750 0.500
Be 0.250 0.500 0.000
Be 0.500 0.000 0.250
Be 0.500 0.000 0.750
Be 0.750 0.500 0.000
As 0.000 0.000 0.000
As 0.500 0.500 0.500


## BeAs2 (PBE-GGA)

Data for an optimized crystal structure of BeAs2.

ΔE_f   0.063 eV per atom
Volume   21.16 A^3/atom
Magnetization   0.00 μB/cell
Density   4.16 g/cm³
Distance to the lowest polymorph of the same formula   0 meV/atom

Cell lengths 3.552, 3.552, 11.616 Å; angles 90.00, 90.00, 120.00 degrees
Element x y z (fractional)
Be 0.000 0.000 0.250
Be 0.000 0.000 0.750
As 0.333 0.667 0.148
As 0.333 0.667 0.352
As 0.667 0.333 0.648
As 0.667 0.333 0.852


## BeAs2 (PBE-GGA)

Data for an optimized crystal structure of BeAs2.

ΔE_f   0.196 eV per atom
Volume   19.17 A^3/atom
Magnetization   0.00 μB/cell
Density   4.59 g/cm³
Distance to the lowest polymorph of the same formula   132 meV/atom

Cell lengths 5.746, 5.746, 8.018 Å; angles 110.73, 110.73, 27.81 degrees
Element x y z (fractional)
Be 0.000 0.000 0.000
Be 0.628 0.628 0.437
As 0.194 0.194 0.232
As 0.209 0.209 0.709
As 0.439 0.439 0.748
As 0.947 0.947 0.245


## BeAs2 (PBE-GGA)

Data for an optimized crystal structure of BeAs2.

ΔE_f   0.652 eV per atom
Volume   17.10 A^3/atom
Magnetization   0.00 μB/cell
Density   5.14 g/cm³
Distance to the lowest polymorph of the same formula   589 meV/atom

Cell lengths 4.668, 4.668, 2.718 Å; angles 90.00, 90.00, 120.00 degrees
Element x y z (fractional)
Be 0.000 0.000 0.000
As 0.333 0.667 0.500
As 0.667 0.333 0.500


## BeAs2 (PBE-GGA)

Data for an optimized crystal structure of BeAs2.

ΔE_f   0.301 eV per atom
Volume   18.03 A^3/atom
Magnetization   0.00 μB/cell
Density   4.88 g/cm³
Distance to the lowest polymorph of the same formula   238 meV/atom

Cell lengths 5.973, 5.973, 5.973 Å; angles 151.52, 147.73, 43.57 degrees
Element x y z (fractional)
Be 0.000 0.000 0.000
As 0.386 0.386 0.000
As 0.614 0.614 0.000


## BeAs (PBE-GGA)

Data for an optimized crystal structure of BeAs.

ΔE_f   0.231 eV per atom
Volume   20.43 A^3/atom
Magnetization   0.00 μB/cell
Density   3.41 g/cm³
Distance to the lowest polymorph of the same formula   228 meV/atom

Cell lengths 6.879, 6.879, 6.879 Å; angles 94.21, 94.21, 148.55 degrees
Element x y z (fractional)
Be 0.099 0.269 0.368
Be 0.269 0.901 0.171
Be 0.731 0.099 0.829
Be 0.901 0.731 0.632
As 0.134 0.688 0.822
As 0.312 0.134 0.446
As 0.688 0.866 0.554
As 0.866 0.312 0.178


## BeAs2 (PBE-GGA)

Data for an optimized crystal structure of BeAs2.

ΔE_f   0.424 eV per atom
Volume   17.21 A^3/atom
Magnetization   0.00 μB/cell
Density   5.11 g/cm³
Distance to the lowest polymorph of the same formula   360 meV/atom

Cell lengths 3.893, 3.893, 7.867 Å; angles 90.00, 90.00, 120.00 degrees
Element x y z (fractional)
Be 0.333 0.667 0.250
Be 0.667 0.333 0.750
As 0.000 0.000 0.000
As 0.000 0.000 0.500
As 0.333 0.667 0.750
As 0.667 0.333 0.250


## BeAs3 (PBE-GGA)

Data for an optimized crystal structure of BeAs3.

ΔE_f   0.343 eV per atom
Volume   20.53 A^3/atom
Magnetization   0.00 μB/cell
Density   4.73 g/cm³
Distance to the lowest polymorph of the same formula   165 meV/atom

Cell lengths 5.582, 5.582, 5.582 Å; angles 142.65, 127.92, 65.82 degrees
Element x y z (fractional)
Be 0.000 0.000 0.000
As 0.143 0.643 0.500
As 0.500 0.500 0.000
As 0.857 0.357 0.500


## BeAs3 (PBE-GGA)

Data for an optimized crystal structure of BeAs3.

ΔE_f   0.346 eV per atom
Volume   19.44 A^3/atom
Magnetization   0.00 μB/cell
Density   4.99 g/cm³
Distance to the lowest polymorph of the same formula   168 meV/atom

Cell lengths 7.126, 7.126, 3.445 Å; angles 90.00, 90.00, 117.26 degrees
Element x y z (fractional)
Be 0.065 0.935 0.750
Be 0.935 0.065 0.250
As 0.080 0.423 0.250
As 0.413 0.587 0.750
As 0.423 0.080 0.750
As 0.577 0.920 0.250
As 0.587 0.413 0.250
As 0.920 0.577 0.750


## Be3As (PBE-GGA)

Data for an optimized crystal structure of Be3As.

ΔE_f   0.552 eV per atom
Volume   11.79 A^3/atom
Magnetization   0.00 μB/cell
Density   3.59 g/cm³
Distance to the lowest polymorph of the same formula   269 meV/atom

Cell lengths 2.602, 2.602, 8.040 Å; angles 90.00, 90.00, 120.00 degrees
Element x y z (fractional)
Be 0.000 0.000 0.000
Be 0.667 0.333 0.206
Be 0.667 0.333 0.794
As 0.000 0.000 0.500


## BeAs3 (PBE-GGA)

Data for an optimized crystal structure of BeAs3.

ΔE_f   0.212 eV per atom
Volume   17.50 A^3/atom
Magnetization   0.00 μB/cell
Density   5.55 g/cm³
Distance to the lowest polymorph of the same formula   33 meV/atom

Cell lengths 4.401, 3.684, 4.519 Å; angles 90.00, 107.21, 90.00 degrees
Element x y z (fractional)
Be 0.000 0.000 0.000
As 0.237 0.500 0.794
As 0.500 0.000 0.500
As 0.763 0.500 0.206


## BeAs (PBE-GGA)

Data for an optimized crystal structure of BeAs.

ΔE_f   0.031 eV per atom
Volume   18.79 A^3/atom
Magnetization   0.00 μB/cell
Density   3.71 g/cm³
Distance to the lowest polymorph of the same formula   28 meV/atom

Cell lengths 2.801, 3.699, 7.253 Å; angles 90.00, 90.20, 90.00 degrees
Element x y z (fractional)
Be 0.249 0.250 0.461
Be 0.751 0.750 0.539
As 0.248 0.750 0.270
As 0.752 0.250 0.730


Number 1: E_tot -4.07 eV/atom. Number 2: E_tot -4.12 eV/atom. Number 3: E_tot -3.59 eV/atom. Number 4: E_tot -4.24 eV/atom. Number 5: E_tot -3.84 eV/atom. Number 6: E_tot -3.55 eV/atom. Number 7: E_tot -4.08 eV/atom. Number 8: E_tot -3.70 eV/atom. Number 9: E_tot -3.48 eV/atom. Number 10: E_tot -4.28 eV/atom. Number 11: E_tot -4.15 eV/atom. Number 12: E_tot -3.69 eV/atom. Number 13: E_tot -4.04 eV/atom. Number 14: E_tot -3.96 eV/atom. Number 15: E_tot -3.92 eV/atom. Number 16: E_tot -4.08 eV/atom. Number 17: E_tot -4.07 eV/atom. Number 18: E_tot -3.40 eV/atom. Number 19: E_tot -4.21 eV/atom. Number 20: E_tot -4.16 eV/atom.